*w*
VASP calculation (PBE) on a relaxed structure of Hg2Au2S.

```
Hg2Au2S
1.0
-3.0314 -6.0504 -2.0443
5.3527 -3.6414 2.8399
-2.1037 -0.1994 3.7094
S Au Hg
2 4 4
direct
0.0000 0.0000 0.0000 S
0.5000 0.5000 0.0000 S
0.3458 0.8458 0.0000 Au
0.8458 0.6542 0.0000 Au
0.6542 0.1542 0.0000 Au
0.1542 0.3458 0.0000 Au
0.1537 0.6537 0.5000 Hg
0.6537 0.8463 0.5000 Hg
0.8463 0.3463 0.5000 Hg
0.3463 0.1537 0.5000 Hg
```

*x*
VASP calculation (PBE) on a relaxed structure of Hg2Au2S.

```
Hg2Au2S
1.0
-1.2129 -3.6500 -0.0804
3.2247 -1.1108 1.7798
-2.2846 -1.4312 7.4038
S Au Hg
1 2 2
direct
0.0000 0.0000 0.0000 S
0.7500 0.2500 0.5000 Au
0.2500 0.7500 0.5000 Au
0.4027 0.4027 0.1946 Hg
0.5973 0.5973 0.8054 Hg
```

Stability summary - winner: *x*; margin: 55 meV/atom.

*w*
VASP calculation (PBE) on a relaxed structure of HgSb3Au3.

```
HgSb3Au3
1.0
7.0435 -0.2578 3.1308
2.5483 6.5237 3.6679
0.5007 1.5844 8.8442
Hg Sb Au
2 6 6
direct
0.6986 0.7082 0.0477 Hg
0.3014 0.2918 0.9523 Hg
0.2716 0.6081 0.1622 Sb
0.9685 0.1871 0.3023 Sb
0.5927 0.8300 0.3965 Sb
0.4073 0.1700 0.6035 Sb
0.0315 0.8129 0.6977 Sb
0.7284 0.3919 0.8378 Sb
0.3838 0.7443 0.7692 Au
0.6815 0.1756 0.7145 Au
0.0803 0.5096 0.6186 Au
0.9197 0.4904 0.3814 Au
0.3185 0.8244 0.2855 Au
0.6162 0.2557 0.2308 Au
```

*x*
VASP calculation (PBE) on a relaxed structure of HgSb3Au3.

```
HgSb3Au3
1.0
7.6425 0.0000 0.0000
0.0000 7.6425 0.0000
0.0000 0.0000 7.6425
Sb Au Hg
6 6 2
direct
0.2500 0.0000 0.5000 Sb
0.0000 0.5000 0.2500 Sb
0.5000 0.7500 0.0000 Sb
0.7500 0.0000 0.5000 Sb
0.0000 0.5000 0.7500 Sb
0.5000 0.2500 0.0000 Sb
0.0000 0.2500 0.5000 Au
0.0000 0.7500 0.5000 Au
0.5000 0.0000 0.7500 Au
0.7500 0.5000 0.0000 Au
0.5000 0.0000 0.2500 Au
0.2500 0.5000 0.0000 Au
0.5000 0.5000 0.5000 Hg
0.0000 0.0000 0.0000 Hg
```

Stability summary - winner: *w*; margin: 123 meV/atom.

*w*
VASP calculation (PBE) on a relaxed structure of Sc4HgAu2.

```
Sc4HgAu2
1.0
-2.2071 4.4233 -1.6565
-4.6588 -1.7376 1.5676
4.3411 1.1598 5.5173
Sc Hg Au
4 1 2
direct
0.7500 0.2500 0.5000 Sc
0.2500 0.7500 0.5000 Sc
0.5000 0.0000 0.0000 Sc
0.0000 0.5000 0.0000 Sc
0.0000 0.0000 0.0000 Hg
0.6342 0.6342 0.2684 Au
0.3658 0.3658 0.7316 Au
```

*x*
VASP calculation (PBE) on a relaxed structure of Sc4HgAu2.

```
Sc4HgAu2
1.0
4.5712 0.0000 1.4281
2.0625 4.0794 1.4281
-0.0747 -0.0460 8.2689
Sc Hg Au
4 1 2
direct
0.8707 0.8707 0.3879 Sc
0.1293 0.1293 0.6121 Sc
0.6174 0.6174 0.1478 Sc
0.3826 0.3826 0.8522 Sc
0.0000 0.0000 0.0000 Hg
0.7513 0.7513 0.7461 Au
0.2487 0.2487 0.2539 Au
```

Stability summary - winner: *x*; margin: 334 meV/atom.